(1)
Cd2AgPt PBE-GGA optimized geometry; Fermi-level density of states = 1.7 states/eV/f.u.; V = 18.37 A^3/atom; ΔE_f = -0.17 eV per atom; calculated density = 11.93 g/cm³; symmetry = I-4m2; total DFT energy (no corrections) = -2.8480 eV/atom
1.0
-2.382 1.466 4.409
1.814 -2.565 4.170
2.299 2.614 -3.892
Cd Ag Pt
2 1 1
Cartesian
1.915 -0.250 2.282
-0.568 -1.099 8.578
-0.184 1.765 2.405
-0.284 -0.550 4.291



(2)
Cd2AgPt PBE-GGA optimized geometry; Fermi-level density of states = 1.6 states/eV/f.u.; V = 18.80 A^3/atom; ΔE_f = -0.09 eV per atom; calculated density = 11.65 g/cm³; symmetry = P4mm; total DFT energy (no corrections) = -2.7669 eV/atom
1.0
3.544 0.000 0.000
0.000 3.544 0.000
0.000 0.000 5.988
Cd Ag Pt
2 1 1
Cartesian
0.000 0.000 5.905
1.772 1.772 1.636
1.772 1.772 4.476
0.000 0.000 2.952



(3)
Cd3Ag2Pt2 PBE-GGA optimized geometry; Fermi-level density of states = 1.4 states/eV/f.u.; V = 18.36 A^3/atom; ΔE_f = -0.16 eV per atom; calculated density = 12.18 g/cm³; symmetry = Cmmm; total DFT energy (no corrections) = -3.0952 eV/atom
1.0
-0.116 1.560 3.717
1.083 -2.525 1.094
9.968 4.533 0.595
Pt Ag Cd
2 2 3
Cartesian
1.866 0.035 2.231
9.070 3.533 3.174
6.320 2.504 3.521
4.615 1.064 1.884
7.189 3.493 0.945
0.000 0.000 0.000
2.663 2.600 3.366